This record from Alexandria via LeMat-Bulk describes crystalline MnFeTe3 at its relaxed geometry. The functional is PBE.

Calculated values
The energy relative to the elements, uncorrected comes out at 0.5924 eV/atom. Its energy relative to the lowest polymorph listed for this composition is 0.00 eV per formula unit. The value obtained for the total DFT energy (no corrections) is -4.819 eV/atom. Its space group is Pm-3m, No. 221.

Lattice parameters (Å, degrees): 5.0923 5.0923 5.0923 90.00 90.00 90.00
Last column: magnetic moment on the atom in μB.
Sites, in units of the cell vectors:
Mn  0.5000  0.5000  0.5000  -4.40
Te  0.0000  0.5000  0.0000  0.11
Te  0.0000  0.0000  0.5000  0.07
Te  0.5000  0.0000  0.0000  0.15
Fe  0.0000  0.0000  0.0000  2.24